Here is crystalline LiPr5Sb2 at its relaxed geometry from the Alexandria database. Energies are from GGA-PBE.

E_form (uncorrected): -344 meV/atom
Fermi-level density of states: 31.35 states/eV per cell
total moment: 0.00 μB per atom
uncorrected energy: -4.601 eV per atom

Unit cell a=5.8324 b=12.5727 c=14.7038 alpha=90.00 beta=90.00 gamma=90.00
Closest atoms and distances in Å follow each position.
Space group Cmcm (No. 63)
Asymmetric unit:
Li 0.0000 0.1986 0.2500  2 Pr 3.12
Pr 0.0000 0.1177 0.7500  2 Sb 3.17
Pr 0.0000 0.1272 0.0468  1 Li 3.12, 3 Sb 3.16-3.23, 1 Pr 3.48
Pr 0.0000 0.4349 0.1057  2 Sb 3.23-3.54, 1 Pr 3.51
Sb 0.0000 0.3080 0.6090  6 Pr 3.16-3.54